1.
Compound: KSiW2
Source: Alexandria via LeMat-Bulk
Functional: GGA-PBE
Structure: relaxed

Cell and atoms, written as extended XYZ:
```
4
Lattice="2.740 0.000 0.000 0.000 3.984 0.000 -0.532 0.000 8.004" Properties=species:S:1:pos:R:3 pbc="T T T"
K 0.000 0.000 0.000
Si 1.452 1.992 2.511
W 0.230 0.000 3.753
W 1.095 1.992 5.135
```

Computed properties:
- Formation energy (no corrections): 226.6 kJ/mol of formula units

***

2.
Compound: KSiW2
Source: Alexandria via LeMat-Bulk
Functional: GGA-PBE
Structure: relaxed

Cell and atoms, written as extended XYZ:
```
4
Lattice="1.443 0.833 10.402 -1.443 0.833 10.402 0.000 -1.666 10.402" Properties=species:S:1:pos:R:3 pbc="T T T"
K 0.000 0.000 0.000
Si 0.000 0.000 23.619
W 0.000 0.000 7.230
W 0.000 0.000 15.295
```

Computed properties:
- Formation energy (no corrections): 278.6 kJ/mol of formula units

***

3.
Compound: KSi2W
Source: Alexandria via LeMat-Bulk
Functional: GGA-PBE
Structure: relaxed

Cell and atoms, written as extended XYZ:
```
4
Lattice="1.891 -2.216 0.000 1.891 2.216 0.000 0.000 0.000 9.021" Properties=species:S:1:pos:R:3 pbc="T T T"
K 0.000 0.000 0.000
Si 1.891 0.000 2.721
Si 1.891 0.000 6.300
W 0.000 0.000 4.511
```

Computed properties:
- Offset from the most stable computed form: 0.0834 eV per atom
- Formation energy (no corrections): 117.8 kJ/mol of formula units

***

4.
Compound: KSiW2
Source: Alexandria via LeMat-Bulk
Functional: GGA-PBE
Structure: relaxed

Cell and atoms, written as extended XYZ:
```
4
Lattice="2.822 -4.979 0.000 2.822 4.979 0.000 0.000 0.000 2.636" Properties=species:S:1:pos:R:3 pbc="T T T"
K 0.000 0.000 0.000
Si 2.822 0.000 0.000
W 1.411 2.490 1.318
W 1.411 -2.490 1.318
```

Computed properties:
- Formation energy (no corrections): 594.1 kJ/mol of formula units